1.
{"formula": "NbSnPb", "functional": "PBE", "state": "optimized geometry", "polymorph_energy_ev_per_fu": 0.84, "lattice_angstrom": [[0.000, 3.479, 3.479], [3.479, 0.000, 3.479], [3.479, 3.479, 0.000]], "species": ["Nb", "Sn", "Pb"], "frac_coords": [[0.000, 0.000, 0.000], [0.250, 0.250, 0.250], [0.500, 0.500, 0.500]]}

2.
{"formula": "Li2ZnMo", "functional": "PBE", "state": "optimized geometry", "total_energy_ev_per_atom": -3.53, "lattice_angstrom": [[0.000, 3.072, 3.072], [3.072, 0.000, 3.072], [3.072, 3.072, 0.000]], "species": ["Li", "Li", "Zn", "Mo"], "frac_coords": [[0.000, 0.000, 0.000], [0.250, 0.250, 0.250], [0.750, 0.750, 0.750], [0.500, 0.500, 0.500]]}